# Cd4I5 (PBE, optimized geometry)
# * crystal system: tetragonal
# * size of the total moment: 0.000 μB per cell
# * uncorrected formation energy: -0.205 eV per atom
data_Cd4I5
_chemical_formula_sum 'Cd8 I10'
_space_group_name_H-M_alt 'I 4/m m m'
_space_group_IT_number 139
_space_group_name_Hall '-I 4 2'
_cell_length_a 9.493
_cell_length_b 9.493
_cell_length_c 8.379
_cell_angle_alpha 90.00
_cell_angle_beta 90.00
_cell_angle_gamma 90.00
loop_
_atom_site_label
_atom_site_fract_x
_atom_site_fract_y
_atom_site_fract_z
Cd1 0.000 0.345 0.000
I1 0.000 0.000 0.000
I2 0.196 0.196 0.500